A plane-wave DFT calculation with PBE-GGA was carried out for crystalline RbCuTcTe3 at its relaxed geometry.

Structure (extended XYZ):
```
12
Lattice="8.9082 0.0000 0.0000 0.0000 4.0192 0.0000 -4.1968 0.0000 9.7068" Properties=species:S:1:pos:R:3 pbc="T T T"
Te -1.4427 3.0144 8.3023
Rb 1.3157 1.0048 6.9694
Tc 7.9608 3.0144 1.6814
Tc -3.2494 1.0048 8.0254
Cu 7.0465 1.0048 3.7795
Te 0.8258 1.0048 1.0960
Cu -2.3350 3.0144 5.9273
Te 4.9365 1.0048 5.4381
Te 3.8857 3.0144 8.6108
Te 6.1542 1.0048 1.4045
Te -0.2251 3.0144 4.2687
Rb 3.3957 3.0144 2.7374
```

## Properties
ΔE to the lowest computed polymorph in kJ/mol of formula units: 3
Space group: P2_1/m

***

A plane-wave DFT calculation with PBE-GGA was carried out for crystalline HoTe3PbAu at its relaxed geometry.

Structure (extended XYZ):
```
12
Lattice="8.3508 0.0000 0.0000 0.0000 4.3060 0.0000 -3.1350 0.0000 10.1990" Properties=species:S:1:pos:R:3 pbc="T T T"
Au 4.6691 1.0765 1.0017
Ho -0.4253 1.0765 6.9176
Te -0.5373 1.0765 3.8027
Te 1.7399 3.2295 6.7020
Te 3.4758 1.0765 3.4971
Pb 3.9573 1.0765 8.0768
Au 0.5466 3.2295 9.1974
Te 5.7530 3.2295 6.3964
Te -1.2549 1.0765 9.8490
Te 6.4706 3.2295 0.3500
Pb 1.2584 3.2295 2.1223
Ho 5.6410 3.2295 3.2815
```

## Properties
ΔE to the lowest computed polymorph in kJ/mol of formula units: 1
Space group: P2_1/m

***

A plane-wave DFT calculation with PBE-GGA was carried out for crystalline Pm3InPt8 at its relaxed geometry.

Structure (extended XYZ):
```
12
Lattice="4.5822 7.2525 4.0033 8.3995 3.9268 1.9105 5.7223 7.4194 -1.3524" Properties=species:S:1:pos:R:3 pbc="T T T"
Pt 14.6734 13.7228 4.9579
Pt 10.4954 11.7940 4.0127
Pm 9.4541 9.4010 2.3056
Pm 7.0535 7.0139 1.7202
Pt 11.0695 11.8780 1.3158
Pt 15.2457 13.8066 2.2693
In 16.2370 16.1457 3.9598
Pm 18.5761 18.4716 4.5302
Pt 3.5272 3.5074 0.8602
Pt 13.3295 15.4760 3.3199
Pt 12.8760 12.8035 3.1401
Pt 12.4176 10.1193 2.9589
```

## Properties
Space group: R3m

***

A plane-wave DFT calculation with PBE-GGA was carried out for crystalline LuNb2Si2As at its relaxed geometry.

Structure (extended XYZ):
```
6
Lattice="3.9402 0.0000 0.0000 0.0000 3.9402 0.0000 0.0000 0.0000 7.6870" Properties=species:S:1:pos:R:3 pbc="T T T"
As 0.0000 0.0000 5.4882
Nb 1.9701 0.0000 7.6057
Si 0.0000 0.0000 1.7908
Lu 1.9701 1.9701 2.6552
Nb 0.0000 1.9701 7.6057
Si 1.9701 1.9701 5.6025
```

## Properties
Space group: P4mm

***

A plane-wave DFT calculation with PBE-GGA was carried out for crystalline LaHo2Mg3CdIn2 at its relaxed geometry.

Structure (extended XYZ):
```
9
Lattice="-1.1573 -4.3069 -1.5045 1.2603 -2.7904 7.0183 -6.9037 2.5805 -2.0764" Properties=species:S:1:pos:R:3 pbc="T T T"
Cd -5.5769 -0.2074 4.8837
Mg -0.9672 -4.3260 5.7660
Ho -3.9828 1.4809 -1.1757
In -2.0202 -3.1799 3.2951
Mg -7.1772 -0.2407 -1.1519
Mg -4.8650 -2.3128 3.0013
Ho 0.7048 -1.6029 4.0462
In -4.8196 -1.3383 0.1765
La -2.4065 -0.0895 2.1073
```

## Properties
Space group: Amm2

***

A plane-wave DFT calculation with PBE-GGA was carried out for crystalline La3Cd2Si4Pd2 at its relaxed geometry.

Structure (extended XYZ):
```
11
Lattice="2.9528 12.7083 2.9720 -3.1074 12.8128 2.2866 -0.2247 -13.3748 0.3428" Properties=species:S:1:pos:R:3 pbc="T T T"
La -1.7217 8.8935 3.2051
La 1.3423 3.2529 2.3963
Si -0.0702 11.5817 2.3864
Pd 1.3008 10.1113 3.8095
Cd -0.0387 6.3811 1.3148
Si -0.0844 13.9395 2.8722
La 0.0000 0.0000 0.0000
Si -1.6944 4.3887 2.2769
Cd -0.1160 19.1401 3.9437
Si 1.3150 7.7576 3.3245
Pd -1.6801 2.0350 1.7919
```

## Properties
Space group: Immm

***

A plane-wave DFT calculation with PBE-GGA was carried out for crystalline Zn4Te3 at its relaxed geometry.

Structure (extended XYZ):
```
14
Lattice="-3.0978 -5.2755 -7.1904 3.7594 1.0595 -8.5935 3.2709 -3.3141 1.0223" Properties=species:S:1:pos:R:3 pbc="T T T"
Te 0.9094 -4.2791 -5.6660
Zn -1.6300 -3.2095 -5.1892
Te -1.3407 -4.0582 -8.8660
Zn 0.6311 -0.4512 -3.4820
Zn 2.4554 -1.4879 -1.5640
Zn 0.2038 -3.7531 -12.8189
Te 2.4303 -1.0904 -11.3106
Zn -2.8754 -4.9413 -6.8187
Zn 2.7083 -4.9184 -13.4941
Zn 1.2105 -3.2193 -3.1938
Te 1.4664 -0.4205 -6.0546
Zn 3.1358 -1.6162 -4.1571
Te 4.6802 -1.3115 -8.1102
Te 1.8733 -4.9489 -10.9215
```

## Properties
ΔE to the lowest computed polymorph in kJ/mol of formula units: 0
Space group: P6_3/m

***

A plane-wave DFT calculation with PBE-GGA was carried out for crystalline NdSmAlIr2 at its relaxed geometry.

Structure (extended XYZ):
```
5
Lattice="3.8092 -3.8263 1.8365 -2.5923 -2.1064 4.6223 -0.9913 0.2981 -5.6082" Properties=species:S:1:pos:R:3 pbc="T T T"
Sm -1.4245 -2.6952 1.4569
Ir 1.2908 -3.8201 2.3150
Al 0.0003 -0.0013 0.0014
Ir -1.0655 -1.8130 -1.4661
Nd 1.6501 -2.9397 -0.6060
```

## Properties
Space group: Imm2

***

A plane-wave DFT calculation with PBE-GGA was carried out for crystalline BaSrBAu at its relaxed geometry.

Structure (extended XYZ):
```
4
Lattice="0.0000 3.8081 3.8081 3.8081 0.0000 3.8081 3.8081 3.8081 0.0000" Properties=species:S:1:pos:R:3 pbc="T T T"
B 1.9041 1.9041 1.9041
Ba 3.8081 3.8081 3.8081
Au 5.7122 5.7122 5.7122
Sr 0.0000 0.0000 0.0000
```

## Properties
ΔE to the lowest computed polymorph in kJ/mol of formula units: 0
Space group: F-43m

***

A plane-wave DFT calculation with PBE-GGA was carried out for crystalline LiErTl2 at its relaxed geometry.

Structure (extended XYZ):
```
4
Lattice="-0.1341 -3.3162 3.8181 2.0356 -3.5318 -2.9960 3.5001 1.1015 1.0796" Properties=species:S:1:pos:R:3 pbc="T T T"
Li 2.7008 -2.8732 0.9508
Tl -0.0671 -1.6581 1.9090
Tl 1.0178 -1.7659 -1.4980
Er 1.7500 0.5507 0.5398
```

## Properties
Space group: P4/mmm

***

A plane-wave DFT calculation with PBE-GGA was carried out for crystalline Zr4NiB3 at its relaxed geometry.

Structure (extended XYZ):
```
16
Lattice="-0.7482 2.3829 2.3852 -2.4335 -1.0508 -2.2139 -6.5029 -17.5216 15.4644" Properties=species:S:1:pos:R:3 pbc="T T T"
B -5.8965 -10.7506 8.8902
B -3.7882 -5.4390 6.7455
Zr -5.3789 -14.4931 12.7914
Zr -2.2598 -0.9519 0.2421
Zr -4.9495 -8.5682 9.5073
Zr -4.7351 -7.6213 6.1284
Ni -3.4975 -4.2866 3.1853
B -7.6014 -15.3443 12.9447
Zr -1.1240 -3.0285 2.6730
Zr -2.1274 -5.7323 5.0592
Zr -7.4248 -15.2376 15.3937
Zr -4.3755 -11.7894 10.4052
B 0.0000 0.0000 0.0000
B -2.0833 -0.8452 2.6911
Ni -6.1872 -11.9029 12.4505
B -3.2514 -8.7608 7.7322
```

## Properties
Space group: P6_3/mmc

***

A plane-wave DFT calculation with PBE-GGA was carried out for crystalline LiReAuSeS2 at its relaxed geometry.

Structure (extended XYZ):
```
12
Lattice="1.6048 -7.1403 0.0000 1.6048 7.1403 0.0000 0.0000 0.0000 9.8444" Properties=species:S:1:pos:R:3 pbc="T T T"
Re 0.0000 0.0000 4.9222
S 1.6048 1.8085 9.6884
Au 1.6048 2.1806 7.3833
Se 1.6048 6.4131 7.3833
Li 1.6048 2.8139 2.4611
Li 1.6048 -2.8139 7.3833
S 1.6048 -1.8085 0.1560
Au 1.6048 -2.1806 2.4611
Re 0.0000 0.0000 0.0000
Se 1.6048 -6.4131 2.4611
S 1.6048 1.8085 5.0782
S 1.6048 -1.8085 4.7662
```

## Properties
Space group: Cmcm

***

Raw total energy across the listed records, respectively: -4.37; -4.20; -6.40; -7.01; -3.16; -5.15; -2.29; -7.00; -3.16; -3.10; -7.80; -5.13 eV/atom.